# 1
Li6Mg8Pb | the Alexandria database | PBE | relaxed; formation energy from the elements = 0.045 eV/atom; SG = R-3; E = -1.82 eV per atom; size of the total moment = 0.0000 μB/atom
1.0
-4.7167 4.9088 -4.4654
-7.3995 2.0819 2.6827
-1.7139 7.0590 2.1485
Mg Pb Li
8 1 6
direct
0.7806 0.1149 0.6469 Mg
0.1149 0.4576 0.6469 Mg
0.2194 0.8851 0.3531 Mg
0.6612 0.6612 0.0164 Mg
0.3388 0.3388 0.9836 Mg
0.8851 0.5424 0.3531 Mg
0.5424 0.2194 0.3531 Mg
0.4576 0.7806 0.6469 Mg
0.0000 0.0000 0.0000 Pb
0.6219 0.9573 0.1397 Li
0.2812 0.6219 0.1397 Li
0.9573 0.2812 0.1397 Li
0.0427 0.7188 0.8603 Li
0.7188 0.3781 0.8603 Li
0.3781 0.0427 0.8603 Li



# 2
Hf2ScAgAu | the Alexandria database | PBE | relaxed; formation energy from the elements = 1.106 eV/atom; SG = P4/mmm; E = -5.37 eV per atom; size of the total moment = 0.0000 μB/atom
1.0
-3.3551 -3.5437 -1.2373
2.1405 -3.1143 3.1153
-3.0409 1.5934 3.6823
Ag Hf Au Sc
1 2 1 1
direct
0.5000 0.5000 0.5000 Ag
0.0000 0.0000 0.5000 Hf
0.5000 0.0000 0.0000 Hf
0.0000 0.5000 0.0000 Au
0.0000 0.0000 0.0000 Sc



# 3
Dy3SnAs2Rh9 | the Alexandria database | PBE | relaxed; formation energy from the elements = -0.448 eV/atom; SG = P-3m1; E = -6.67 eV per atom; size of the total moment = 0.0000 μB/atom
1.0
6.2656 0.0000 0.0000
-3.1328 5.4262 0.0000
0.0000 0.0000 9.3110
Rh As Dy Sn
9 2 3 1
direct
0.2819 0.1409 0.7344 Rh
0.8591 0.1409 0.7344 Rh
0.7181 0.8591 0.2656 Rh
0.1409 0.2819 0.2656 Rh
0.0000 0.5000 0.0000 Rh
0.5000 0.0000 0.0000 Rh
0.1409 0.8591 0.2656 Rh
0.5000 0.5000 0.0000 Rh
0.8591 0.7181 0.7344 Rh
0.3333 0.6667 0.1696 As
0.6667 0.3333 0.8304 As
0.6667 0.3333 0.2536 Dy
0.0000 0.0000 0.0000 Dy
0.3333 0.6667 0.7464 Dy
0.0000 0.0000 0.5000 Sn



# 4
Pm2Pu12Ir7 | the Alexandria database | PBE | relaxed; formation energy from the elements = -0.302 eV/atom; SG = P-6; E = -11.90 eV per atom; size of the total moment = 1.4552 μB/atom
1.0
5.8258 -10.0905 0.0000
5.8258 10.0905 0.0000
0.0000 0.0000 4.0843
Pm Ir Pu
2 7 12
direct
0.6667 0.3333 0.0000 Pm
0.0000 0.0000 0.5000 Pm
0.1962 0.2162 0.0000 Ir
0.4604 0.1164 0.5000 Ir
0.0201 0.8038 0.0000 Ir
0.6561 0.5396 0.5000 Ir
0.3333 0.6667 0.0000 Ir
0.8836 0.3439 0.5000 Ir
0.7838 0.9799 0.0000 Ir
0.2708 0.0245 0.0000 Pu
0.2422 0.7910 0.5000 Pu
0.4493 0.4897 0.0000 Pu
0.2090 0.4511 0.5000 Pu
0.7537 0.7292 0.0000 Pu
0.6936 0.0821 0.5000 Pu
0.5489 0.7578 0.5000 Pu
0.5103 0.9596 0.0000 Pu
0.3885 0.3064 0.5000 Pu
0.0404 0.5507 0.0000 Pu
0.9755 0.2463 0.0000 Pu
0.9179 0.6115 0.5000 Pu